# 1
GGA-PBEsol HgSbO2, optimized geometry; formation energy from raw total energies = -67.9 kJ/mol of formula units; crystal system = cubic
1.0
0.000 3.030 3.030
3.030 0.000 3.030
3.030 3.030 0.000
Hg Sb O
1 1 2
Cartesian
0.000 0.000 0.000
3.030 3.030 3.030
1.515 1.515 1.515
4.546 4.546 4.546

=====

# 2
GGA-PBEsol Ti2Cr4Cu3Se12, optimized geometry; formation energy from raw total energies = -1229.5 kJ/mol of formula units; crystal system = monoclinic
1.0
5.148 -5.146 0.000
5.148 5.146 0.000
-4.623 0.000 15.398
Ti Cr Cu Se
4 8 6 24
Cartesian
0.408 2.673 12.868
2.954 2.673 10.230
2.719 -2.673 5.169
5.266 -2.673 2.531
0.000 0.000 0.000
-2.311 0.000 7.699
2.574 2.573 0.000
0.344 0.088 10.275
2.655 -0.088 2.576
0.263 -2.573 7.699
3.018 0.088 12.823
5.330 -0.088 5.124
3.993 3.723 3.850
1.534 1.257 6.439
-0.778 -1.257 14.139
6.452 1.257 1.260
4.140 -1.257 8.959
1.681 -3.723 11.549
-2.158 0.047 10.196
0.395 2.581 10.303
0.153 -0.047 2.497
2.635 2.418 2.485
0.447 2.651 15.385
2.490 0.085 0.093
2.916 2.651 7.712
0.179 -0.085 7.792
2.968 2.581 12.794
0.520 0.123 12.769
2.831 -0.123 5.070
5.350 2.418 5.214
0.324 -2.418 10.184
2.842 0.123 10.329
5.154 -0.123 2.630
2.706 -2.581 2.604
5.495 0.085 7.607
2.758 -2.651 7.686
3.183 -0.085 15.306
5.227 -2.651 0.013
3.039 -2.418 12.913
5.521 0.047 12.901
5.279 -2.581 5.095
7.832 -0.047 5.202

=====

# 3
GGA-PBEsol Cs3ZnCl5, optimized geometry; formation energy from raw total energies = -1523.5 kJ/mol of formula units; crystal system = tetragonal
1.0
-4.564 4.564 7.178
4.564 -4.564 7.178
4.564 4.564 -7.178
Cs Zn Cl
6 2 10
Cartesian
6.060 1.496 0.000
0.000 0.000 3.589
1.496 3.069 0.000
3.069 1.496 7.178
0.000 0.000 10.767
-1.496 3.069 7.178
4.564 0.000 3.589
0.000 4.564 3.589
0.000 0.000 0.000
5.848 -1.283 2.251
3.281 -1.283 4.927
3.281 1.283 2.251
5.848 1.283 4.927
0.000 0.000 7.178
-1.283 3.281 2.251
1.283 3.281 4.927
1.283 5.848 2.251
-1.283 5.848 4.927